Record 1
Crystalline NaLaMgBr6 at its relaxed geometry. Source: Alexandria via LeMat-Bulk, functional PBE. Values from VASP.

Quantum ESPRESSO input file:
```
&SYSTEM
  ibrav = 0, nat = 18, ntyp = 4
/
ATOMIC_SPECIES
Na 22.99 Na.upf
La 138.91 La.upf
Mg 24.30 Mg.upf
Br 79.90 Br.upf
CELL_PARAMETERS angstrom
7.2567 0.0000 0.0000
-3.6284 6.2845 0.0000
0.0000 0.0000 13.2618
ATOMIC_POSITIONS angstrom
Na 0.0000 0.0000 0.0000
Na 0.0000 0.0000 6.6309
La 0.0000 4.1897 3.3155
La 3.6284 2.0948 9.9464
Mg 0.0000 4.1897 9.9464
Mg 3.6284 2.0948 3.3155
Br -1.1390 2.2991 8.3657
Br -2.2068 4.1486 11.5270
Br 1.1390 2.2991 11.5270
Br -1.0678 6.1214 8.3657
Br 2.5605 0.1631 1.7348
Br 1.4216 2.1359 4.8961
Br 2.2068 4.1486 8.3657
Br 1.0678 6.1214 11.5270
Br 4.6962 0.1631 4.8961
Br 2.4894 3.9855 1.7348
Br 5.8352 2.1359 1.7348
Br 4.7673 3.9855 4.8961
```

Summary:
ΔE_f (raw) = -39.21 kcal/mol of atoms
V = 33.6 Å³/atom
Total energy = -0.1355 Ha/atom

***

Record 2
Crystalline LaMgNb2Br at its relaxed geometry. Source: Alexandria via LeMat-Bulk, functional PBE. Values from VASP.

Quantum ESPRESSO input file:
```
&SYSTEM
  ibrav = 0, nat = 5, ntyp = 4
/
ATOMIC_SPECIES
La 138.91 La.upf
Mg 24.30 Mg.upf
Nb 92.91 Nb.upf
Br 79.90 Br.upf
CELL_PARAMETERS angstrom
5.1120 0.0000 0.0000
0.0000 5.1120 0.0000
0.0000 0.0000 5.7846
ATOMIC_POSITIONS angstrom
La 0.0000 0.0000 0.0000
Mg 2.5560 2.5560 2.8923
Nb 0.0000 2.5560 0.0000
Nb 2.5560 0.0000 0.0000
Br 0.0000 0.0000 2.8923
```

Summary:
ΔE_f (raw) = 30.81 kcal/mol of atoms
V = 30.2 Å³/atom
Total energy = -0.1592 Ha/atom

***

Record 3
Crystalline LaMgNi2Br at its relaxed geometry. Source: Alexandria via LeMat-Bulk, functional PBE. Values from VASP.

Quantum ESPRESSO input file:
```
&SYSTEM
  ibrav = 0, nat = 5, ntyp = 4
/
ATOMIC_SPECIES
La 138.91 La.upf
Mg 24.30 Mg.upf
Ni 58.69 Ni.upf
Br 79.90 Br.upf
CELL_PARAMETERS angstrom
4.7093 0.0000 0.0000
0.0000 4.7093 0.0000
0.0000 0.0000 5.0225
ATOMIC_POSITIONS angstrom
La 0.0000 0.0000 0.0000
Mg 2.3547 2.3547 0.0000
Ni 0.0000 2.3547 2.5113
Ni 2.3547 0.0000 2.5113
Br 2.3547 2.3547 2.5113
```

Summary:
ΔE_f (raw) = 9.83 kcal/mol of atoms
V = 22.3 Å³/atom
Total energy = -0.1296 Ha/atom

***

Question: Among the records above, which one has the lowest V?
Answer: LaMgNi2Br